Arrangement A

A geometry-optimized CoSn3Ge structure. Source: the Alexandria database, functional GGA-PBE.

```
data_CoSn3Ge
_symmetry_space_group_name_H-M 'P 1'
_symmetry_Int_Tables_number 1
_symmetry_space_group_name_Hall 'P 1'
_cell_length_a 5.287
_cell_length_b 5.287
_cell_length_c 5.287
_cell_angle_alpha 90.00
_cell_angle_beta 90.00
_cell_angle_gamma 90.00
loop_
_atom_site_label
_atom_site_type_symbol
_atom_site_fract_x
_atom_site_fract_y
_atom_site_fract_z
_atom_site_occupancy
Ge1 Ge 0.000 0.000 0.000 1
Co1 Co 0.500 0.500 0.500 1
Sn1 Sn 0.000 0.500 0.000 1
Sn2 Sn 0.000 0.000 0.500 1
Sn3 Sn 0.500 0.000 0.000 1
```

Arrangement B

A geometry-optimized CoSn3Ge structure. Source: the Alexandria database, functional GGA-PBE.

```
data_CoSn3Ge
_symmetry_space_group_name_H-M 'P 1'
_symmetry_Int_Tables_number 1
_symmetry_space_group_name_Hall 'P 1'
_cell_length_a 4.926
_cell_length_b 4.926
_cell_length_c 4.926
_cell_angle_alpha 90.00
_cell_angle_beta 90.00
_cell_angle_gamma 90.00
loop_
_atom_site_label
_atom_site_type_symbol
_atom_site_fract_x
_atom_site_fract_y
_atom_site_fract_z
_atom_site_occupancy
Ge1 Ge 0.500 0.500 0.500 1
Co1 Co 0.000 0.000 0.000 1
Sn1 Sn 0.000 0.500 0.000 1
Sn2 Sn 0.000 0.000 0.500 1
Sn3 Sn 0.500 0.000 0.000 1
```

Most stable: arrangement B (next structure +80.3 kJ/mol of atoms)

Arrangement A

A geometry-optimized Co3SnGe structure. Source: the Alexandria database, functional GGA-PBE.

```
data_Co3SnGe
_symmetry_space_group_name_H-M 'P 1'
_symmetry_Int_Tables_number 1
_symmetry_space_group_name_Hall 'P 1'
_cell_length_a 4.677
_cell_length_b 4.677
_cell_length_c 4.677
_cell_angle_alpha 90.00
_cell_angle_beta 90.00
_cell_angle_gamma 90.00
loop_
_atom_site_label
_atom_site_type_symbol
_atom_site_fract_x
_atom_site_fract_y
_atom_site_fract_z
_atom_site_occupancy
Ge1 Ge 0.500 0.500 0.500 1
Co1 Co 0.000 0.500 0.000 1
Co2 Co 0.000 0.000 0.500 1
Co3 Co 0.500 0.000 0.000 1
Sn1 Sn 0.000 0.000 0.000 1
```

Arrangement B

A geometry-optimized Co3SnGe structure. Source: the Alexandria database, functional GGA-PBE.

```
data_Co3SnGe
_symmetry_space_group_name_H-M 'P 1'
_symmetry_Int_Tables_number 1
_symmetry_space_group_name_Hall 'P 1'
_cell_length_a 4.332
_cell_length_b 4.332
_cell_length_c 4.332
_cell_angle_alpha 90.00
_cell_angle_beta 90.00
_cell_angle_gamma 90.00
loop_
_atom_site_label
_atom_site_type_symbol
_atom_site_fract_x
_atom_site_fract_y
_atom_site_fract_z
_atom_site_occupancy
Ge1 Ge 0.000 0.000 0.000 1
Co1 Co 0.000 0.500 0.000 1
Co2 Co 0.000 0.000 0.500 1
Co3 Co 0.500 0.000 0.000 1
Sn1 Sn 0.500 0.500 0.500 1
```

Most stable: arrangement B (next structure +74.0 kJ/mol of atoms)

Arrangement A

A geometry-optimized SrCo3Ge structure. Source: the Alexandria database, functional GGA-PBE.

```
data_SrCo3Ge
_symmetry_space_group_name_H-M 'P 1'
_symmetry_Int_Tables_number 1
_symmetry_space_group_name_Hall 'P 1'
_cell_length_a 4.715
_cell_length_b 4.715
_cell_length_c 4.715
_cell_angle_alpha 90.00
_cell_angle_beta 90.00
_cell_angle_gamma 90.00
loop_
_atom_site_label
_atom_site_type_symbol
_atom_site_fract_x
_atom_site_fract_y
_atom_site_fract_z
_atom_site_occupancy
Sr1 Sr 0.000 0.000 0.000 1
Ge1 Ge 0.500 0.500 0.500 1
Co1 Co 0.000 0.500 0.000 1
Co2 Co 0.000 0.000 0.500 1
Co3 Co 0.500 0.000 0.000 1
```

Arrangement B

A geometry-optimized SrCo3Ge structure. Source: the Alexandria database, functional GGA-PBE.

```
data_SrCo3Ge
_symmetry_space_group_name_H-M 'P 1'
_symmetry_Int_Tables_number 1
_symmetry_space_group_name_Hall 'P 1'
_cell_length_a 4.539
_cell_length_b 4.539
_cell_length_c 4.539
_cell_angle_alpha 90.00
_cell_angle_beta 90.00
_cell_angle_gamma 90.00
loop_
_atom_site_label
_atom_site_type_symbol
_atom_site_fract_x
_atom_site_fract_y
_atom_site_fract_z
_atom_site_occupancy
Sr1 Sr 0.500 0.500 0.500 1
Ge1 Ge 0.000 0.000 0.000 1
Co1 Co 0.000 0.500 0.000 1
Co2 Co 0.000 0.000 0.500 1
Co3 Co 0.500 0.000 0.000 1
```

Most stable: arrangement B (next structure +165.9 kJ/mol of atoms)

Arrangement A

A geometry-optimized CoTcGe3 structure. Source: the Alexandria database, functional GGA-PBE.

```
data_CoTcGe3
_symmetry_space_group_name_H-M 'P 1'
_symmetry_Int_Tables_number 1
_symmetry_space_group_name_Hall 'P 1'
_cell_length_a 3.045
_cell_length_b 7.555
_cell_length_c 13.276
_cell_angle_alpha 90.00
_cell_angle_beta 90.00
_cell_angle_gamma 90.00
loop_
_atom_site_label
_atom_site_type_symbol
_atom_site_fract_x
_atom_site_fract_y
_atom_site_fract_z
_atom_site_occupancy
Co1 Co 0.250 0.745 0.541 1
Co2 Co 0.750 0.255 0.459 1
Co3 Co 0.750 0.755 0.041 1
Co4 Co 0.250 0.245 0.959 1
Tc1 Tc 0.250 0.040 0.301 1
Tc2 Tc 0.750 0.960 0.699 1
Tc3 Tc 0.750 0.460 0.801 1
Tc4 Tc 0.250 0.540 0.199 1
Ge1 Ge 0.750 0.304 0.276 1
Ge2 Ge 0.250 0.598 0.935 1
Ge3 Ge 0.250 0.007 0.091 1
Ge4 Ge 0.250 0.507 0.409 1
Ge5 Ge 0.250 0.098 0.565 1
Ge6 Ge 0.750 0.493 0.591 1
Ge7 Ge 0.250 0.196 0.776 1
Ge8 Ge 0.750 0.993 0.909 1
Ge9 Ge 0.750 0.402 0.065 1
Ge10 Ge 0.750 0.804 0.224 1
Ge11 Ge 0.750 0.902 0.435 1
Ge12 Ge 0.250 0.696 0.724 1
```

Arrangement B

A geometry-optimized CoTcGe3 structure. Source: the Alexandria database, functional GGA-PBE.

```
data_CoTcGe3
_symmetry_space_group_name_H-M 'P 1'
_symmetry_Int_Tables_number 1
_symmetry_space_group_name_Hall 'P 1'
_cell_length_a 4.487
_cell_length_b 4.487
_cell_length_c 4.487
_cell_angle_alpha 90.00
_cell_angle_beta 90.00
_cell_angle_gamma 90.00
loop_
_atom_site_label
_atom_site_type_symbol
_atom_site_fract_x
_atom_site_fract_y
_atom_site_fract_z
_atom_site_occupancy
Ge1 Ge 0.000 0.500 0.000 1
Ge2 Ge 0.000 0.000 0.500 1
Ge3 Ge 0.500 0.000 0.000 1
Co1 Co 0.000 0.000 0.000 1
Tc1 Tc 0.500 0.500 0.500 1
```

Most stable: arrangement A (next structure +70.5 kJ/mol of atoms)